Compound: Re2Bi2W3
Source: OQMD via LeMat-Bulk
Functional: PBE
Structure: optimized geometry

Magnetization   0.00 μB/atom
Symmetry   No. 160
VASP energy   -9.328 eV per atom
Volume   135 Å³ per cell

a b c (Å): 7.7242 7.7242 7.7242
angles (deg): 34.92 34.92 34.92
Closest atoms and distances in Å follow each position.
Atoms (fractional coordinates):
Bi1 0.4837 0.4837 0.4837  5 W 2.84-3.00, 3 Re 2.94
Bi2 0.0505 0.0505 0.0505  3 W 2.79, 3 Re 2.84
W1 0.8796 0.8796 0.8796  4 Re 2.59-2.73
W2 0.3475 0.3475 0.3475  1 Re 2.36
W3 0.6144 0.6144 0.6144  3 Re 2.83, 1 Bi 2.84, 6 W 3.04-3.06
Re1 0.2389 0.2389 0.2389  1 W 2.36
Re2 0.7605 0.7605 0.7605  1 W 2.59, 3 Bi 2.84